The following is a PBE-GGA calculation of a geometry-optimized CaSn3S7 structure, from Alexandria.

As for the symmetry: Pmmn (59). The calculation puts the formation energy from raw total energies at -468.4 meV/atom. The total magnetization comes out at 0.00 μB per formula unit. The value obtained for the energy is -4.37 eV/atom.

Cell: 6.1719 6.6922 13.4232 Å, 90.00 90.00 90.00°
With the nearest neighbours (Å) after each atom.
Element x y z (fractional)
Sn (0.3340, 0.5000, 0.2459)  3 S 2.35-2.58
Sn (0.3488, 0.0000, 0.0000)  1 S 2.33
Sn (0.3340, 0.5000, 0.7541)  3 S 2.35-2.58
Sn (0.6660, 0.0000, 0.7459)  3 S 2.35-2.58
Sn (0.6512, 0.5000, 0.5000)  1 S 2.33
Sn (0.6660, 0.0000, 0.2541)  3 S 2.35-2.58
S (0.5352, 0.2542, 0.1229)  3 Sn 2.58-2.64
S (0.0289, 0.5000, 0.5000)  1 Sn 2.33
S (0.9711, 0.0000, 0.0000)  1 Sn 2.33
S (0.0360, 0.0000, 0.2954)  1 Sn 2.35
S (0.4648, 0.7542, 0.3771)  3 Sn 2.58-2.64
S (0.0360, 0.0000, 0.7046)  1 Sn 2.35
S (0.9640, 0.5000, 0.2046)  1 Sn 2.35
S (0.4648, 0.7542, 0.6229)  3 Sn 2.58-2.64
S (0.4648, 0.2458, 0.3771)  3 Sn 2.58-2.64
S (0.5352, 0.7458, 0.8771)  3 Sn 2.58-2.64
S (0.5352, 0.2542, 0.8771)  3 Sn 2.58-2.64
S (0.4648, 0.2458, 0.6229)  3 Sn 2.58-2.64
S (0.9640, 0.5000, 0.7954)  1 Sn 2.35
S (0.5352, 0.7458, 0.1229)  3 Sn 2.58-2.64
Ca (0.8466, 0.5000, 0.0000)  6 S 2.84-3.02
Ca (0.1534, 0.0000, 0.5000)  6 S 2.84-3.02